[1]
The following is a PBE calculation of a relaxed RuO2F2 crystal, from the Alexandria database.

Cell: 3.8755 3.8755 3.6306 Å, 90.00 90.00 90.00°
Fractional coordinates of all 5 atoms:
Ru: 0.0000 0.0000 0.0000
O: 0.5000 0.5000 0.0000
O: 0.5000 0.5000 0.5000
F: 0.0000 0.5000 0.5000
F: 0.5000 0.0000 0.5000

Values from the calculation:
Space group = P4/mmm (123)
Final energy = -3.8948 eV/atom
Volume = 10.91 Å³ per atom



[2]
The following is a PBE calculation of a relaxed RuO2F2 crystal, from the Alexandria database.

Cell: 3.7212 3.7212 4.0075 Å, 90.00 90.00 90.00°
Fractional coordinates of all 5 atoms:
Ru: 0.0000 0.0000 0.0000
O: 0.0000 0.5000 0.0000
O: 0.5000 0.0000 0.0000
F: 0.0000 0.0000 0.5000
F: 0.5000 0.5000 0.5000

Values from the calculation:
Space group = P4/mmm (123)
Final energy = -5.3498 eV/atom
Volume = 11.10 Å³ per atom



[3]
The following is a PBE calculation of a relaxed RuOF2 crystal, from the Alexandria database.

Cell: 8.0216 8.0216 8.0216 Å, 156.66 156.66 33.24°
Fractional coordinates of all 8 atoms:
Ru: 0.0000 0.0000 0.0000
Ru: 0.7500 0.2500 0.5000
O: 0.2500 0.7500 0.5000
O: 0.5000 0.5000 0.0000
F: 0.0976 0.6250 0.9726
F: 0.3750 0.3476 0.4726
F: 0.6524 0.1250 0.0274
F: 0.8750 0.9024 0.5274

Values from the calculation:
Polymorph energy (0 for the lowest one) = 1.209 eV/atom
Space group = I-42d (122)
Volume = 10.11 Å³ per atom



[4]
The following is a PBE calculation of a relaxed Ru2OF crystal, from the Alexandria database.

Cell: 4.1011 4.1011 4.1011 Å, 60.00 60.00 60.00°
Fractional coordinates of all 4 atoms:
Ru: 0.2500 0.2500 0.2500
Ru: 0.7500 0.7500 0.7500
O: 0.0000 0.0000 0.0000
F: 0.5000 0.5000 0.5000

Values from the calculation:
Polymorph energy (0 for the lowest one) = 0.596 eV/atom
Space group = Fm-3m (225)
Volume = 12.19 Å³ per atom